Entry from the Alexandria database: a geometry-optimized PaGa3Br7 structure (PBE).

The structure in POSCAR format:
```
PaGa3Br7
1.0
2.380 -2.240 6.677
5.519 -4.590 -1.933
8.530 2.220 2.504
Br Ga Pa
7 3 1
Cartesian
10.310 -1.915 7.476
13.844 -3.338 5.959
4.162 -1.572 4.231
5.542 -2.605 0.447
2.067 -0.793 0.970
8.411 -3.371 3.987
12.239 -3.359 2.185
9.430 -3.466 1.282
7.557 -2.063 6.421
11.830 -1.387 4.692
7.775 -6.311 4.558
```

- M_tot: 1.0 μB per cell
- VASP energy: -40.6 eV for the cell shown